The following is a PBE calculation of a relaxed TaCr2Pt crystal, from the Alexandria database.

Calculated values
The total magnetization comes out at 0.00 μB per cell. The calculation puts the formation energy at -0.003 eV per atom. The calculation puts the volume at 58 Å³/cell.

Cell: 2.7163 2.7163 8.0683 Å, 90.00 90.00 104.52°
Closest atoms and distances in Å follow each position.
Positions (direct):
Cr (0.0000, 0.0000, 0.0200)  2 Cr 2.40, 2 Ta 2.67
Cr (0.5000, 0.5000, 0.2348)  2 Cr 2.40, 2 Pt 2.61
Pt (0.0000, 0.0000, 0.4847)  2 Cr 2.61, 4 Pt 2.72, 2 Ta 2.78
Ta (0.5000, 0.5000, 0.7605)  2 Cr 2.67, 4 Ta 2.72, 2 Pt 2.78

***

The following is a PBE calculation of a relaxed TaCr2Pt crystal, from the Alexandria database.

Calculated values
The total magnetization comes out at 0.00 μB per cell. The calculation puts the formation energy at 0.044 eV per atom. The calculation puts the volume at 60 Å³/cell.

Cell: 4.4437 2.7593 4.8825 Å, 85.00 90.00 90.00°
Closest atoms and distances in Å follow each position.
Positions (direct):
Cr (0.0000, 0.0681, 0.9564)  1 Cr 2.17
Cr (0.0000, 0.4319, 0.5436)  1 Cr 2.17
Pt (0.5000, 0.2500, 0.2500)  4 Ta 2.70-2.91, 4 Cr 2.71, 2 Pt 2.76
Ta (0.5000, 0.7500, 0.7500)  4 Cr 2.62, 4 Pt 2.70-2.91, 2 Ta 2.76

***

The following is a PBE calculation of a relaxed TaCr2Pt crystal, from the Alexandria database.

Calculated values
The total magnetization comes out at 3.16 μB per cell. The calculation puts the formation energy at 0.012 eV per atom. The calculation puts the volume at 59 Å³/cell.

Cell: 3.1569 3.1573 5.9099 Å, 90.00 90.00 90.00°
Closest atoms and distances in Å follow each position.
Positions (direct):
Cr (0.0000, 0.0000, 0.9988)  4 Ta 2.67, 4 Pt 2.68, 2 Cr 2.94-2.97
Cr (0.0000, 0.0000, 0.5012)  4 Ta 2.67, 4 Pt 2.68, 2 Cr 2.94-2.97
Pt (0.5000, 0.5000, 0.2500)  8 Cr 2.68, 2 Ta 2.95
Ta (0.5000, 0.5000, 0.7500)  8 Cr 2.67, 2 Pt 2.95